First-principles (GGA+U) data for a relaxed PaCr2IO8 crystal, as listed in Alexandria via LeMat-Bulk.

Cell lengths 4.772, 4.772, 6.666 Å; angles 90.00, 89.99, 90.51 degrees
Positions (direct):
O1 0.684 0.684 0.500
O2 0.687 0.688 0.000
O3 0.798 0.202 0.758
Pa1 0.000 0.000 0.500
O4 0.798 0.202 0.242
O5 0.313 0.312 0.000
I1 0.000 0.000 0.000
O6 0.202 0.798 0.242
O7 0.316 0.316 0.500
Cr1 0.500 0.500 0.244
Cr2 0.500 0.500 0.756
O8 0.202 0.798 0.758

## Properties
* space-group type: No. 65
* E: -7.322 eV/atom